# Li4US5 PBE-GGA relaxed
# Total moment: 0.00 μB/f.u.
# DFT total energy: -5.253 eV/atom
# Volume: 366.2 Å³/cell
# Energy relative to the elements, uncorrected: -1249 kJ/mol of formula units
data_Li4US5
_chemical_formula_sum 'Li8 U2 S10'
_space_group_name_H-M_alt 'I 4/m'
_space_group_IT_number 87
_space_group_name_Hall '-I 4'
_cell_length_a 8.306
_cell_length_b 8.306
_cell_length_c 5.309
_cell_angle_alpha 90.00
_cell_angle_beta 90.00
_cell_angle_gamma 90.00
loop_
_atom_site_label
_atom_site_type_symbol
_atom_site_fract_x
_atom_site_fract_y
_atom_site_fract_z
Li1 Li 0.109 0.301 0.000
U1 U 0.000 0.000 0.500
S1 S 0.000 0.000 0.000
S2 S 0.090 0.289 0.500